Density functional theory data (PBE) for a relaxed structure of Ba2LaTl.

Computed properties:
Energy of formation from the pure elements   7 meV per atom
Total DFT energy (no corrections)   -2.778 eV/atom
Offset from the most stable computed form   0.266 eV per atom
DOS(E_F)   15.49 states/eV/cell

The structure in CIF format:
```
data_Ba2LaTl
_cell_length_a 4.0744
_cell_length_b 4.0744
_cell_length_c 37.2476
_cell_angle_alpha 90.00
_cell_angle_beta 90.00
_cell_angle_gamma 120.00
_space_group_name_H-M_alt 'R -3 m'
_space_group_IT_number 166
_space_group_name_Hall '-R 3 2"'
loop_
_atom_site_label
_atom_site_fract_x
_atom_site_fract_y
_atom_site_fract_z
Ba1 0.0000 0.0000 0.2413
La1 0.0000 0.0000 0.0000
Tl1 0.0000 0.0000 0.5000
```